## PmLuOs4 (PBE)

Data for a relaxed structure of PmLuOs4.

Cell and atoms, written as POSCAR:
```
PmLuOs4
1.0
0.000 3.796 3.796
3.796 0.000 3.796
3.796 3.796 0.000
Pm Lu Os
1 1 4
Direct
0.000 0.000 0.000 Pm
0.750 0.750 0.750 Lu
0.375 0.375 0.375 Os
0.375 0.375 0.874 Os
0.375 0.874 0.375 Os
0.874 0.375 0.375 Os
```

## Properties
Raw total energy: -55.50 eV/cell
Total magnetic moment: 0.00 μB per atom
Calculated density: 16.4 Mg/m³


## PmLuOsRh (PBE)

Data for a relaxed structure of PmLuOsRh.

Cell and atoms, written as POSCAR:
```
PmLuOsRh
1.0
0.000 3.428 3.428
3.428 0.000 3.428
3.428 3.428 0.000
Pm Lu Os Rh
1 1 1 1
Direct
0.000 0.000 0.000 Pm
0.500 0.500 0.500 Lu
0.750 0.750 0.750 Os
0.250 0.250 0.250 Rh
```

## Properties
Raw total energy: -29.50 eV/cell
Total magnetic moment: 0.00 μB per atom
Calculated density: 12.6 Mg/m³


## PmLuOsRu (PBE)

Data for a relaxed structure of PmLuOsRu.

Cell and atoms, written as POSCAR:
```
PmLuOsRu
1.0
0.000 3.412 3.412
3.412 0.000 3.412
3.412 3.412 0.000
Pm Lu Os Ru
1 1 1 1
Direct
0.000 0.000 0.000 Pm
0.500 0.500 0.500 Lu
0.750 0.750 0.750 Os
0.250 0.250 0.250 Ru
```

## Properties
Raw total energy: -30.29 eV/cell
Total magnetic moment: 0.00 μB per atom
Calculated density: 12.8 Mg/m³


## PmLuTlOs (PBE)

Data for a relaxed structure of PmLuTlOs.

Cell and atoms, written as POSCAR:
```
PmLuTlOs
1.0
0.000 3.596 3.596
3.596 0.000 3.596
3.596 3.596 0.000
Pm Lu Tl Os
1 1 1 1
Direct
0.000 0.000 0.000 Pm
0.500 0.500 0.500 Lu
0.750 0.750 0.750 Tl
0.250 0.250 0.250 Os
```

## Properties
Raw total energy: -23.28 eV/cell
Total magnetic moment: 0.00 μB per atom
Calculated density: 12.8 Mg/m³


## PmLuZnOs (PBE)

Data for a relaxed structure of PmLuZnOs.

Cell and atoms, written as POSCAR:
```
PmLuZnOs
1.0
0.000 3.484 3.484
3.484 0.000 3.484
3.484 3.484 0.000
Pm Lu Zn Os
1 1 1 1
Direct
0.000 0.000 0.000 Pm
0.500 0.500 0.500 Lu
0.250 0.250 0.250 Zn
0.750 0.750 0.750 Os
```

## Properties
Raw total energy: -22.69 eV/cell
Total magnetic moment: 0.00 μB per atom
Calculated density: 11.3 Mg/m³


## Pr2LuOs (PBE)

Data for a relaxed structure of Pr2LuOs.

Cell and atoms, written as POSCAR:
```
Pr2LuOs
1.0
1.788 1.032 10.902
-1.788 1.032 10.902
0.000 -2.065 10.902
Pr Lu Os
2 1 1
Direct
0.105 0.105 0.105 Pr
0.895 0.895 0.895 Pr
0.000 0.000 0.000 Lu
0.500 0.500 0.500 Os
```

## Properties
Raw total energy: -23.55 eV/cell
Total magnetic moment: 0.00 μB per atom
Calculated density: 8.9 Mg/m³